# SrMn2Cl2O2 (PBE with a Hubbard U, optimized geometry)
data_SrMn2Cl2O2
_cell_length_a 12.210
_cell_length_b 3.429
_cell_length_c 6.214
_cell_angle_alpha 90.00
_cell_angle_beta 91.17
_cell_angle_gamma 90.00
_symmetry_space_group_name_H-M 'C 1 2/m 1'
_symmetry_Int_Tables_number 12
loop_
_symmetry_equiv_pos_as_xyz
'x,y,z'
'-x,-y,-z'
'-x,y,-z'
'x,-y,z'
'x+1/2,y+1/2,z'
'-x+1/2,-y+1/2,-z'
'-x+1/2,y+1/2,-z'
'x+1/2,-y+1/2,z'
loop_
_atom_site_label
_atom_site_fract_x
_atom_site_fract_y
_atom_site_fract_z
_atom_site_occupancy
Sr1 0.000 0.000 0.000 1
Mn1 0.241 0.000 0.795 1
Cl1 0.133 0.000 0.409 1
O1 0.149 0.500 0.926 1
# - Fermi-level density of states (states/eV/cell) = 0.00
# - final energy (eV for the cell shown) = -86.02